Entry 1:
# Mn2CrPt, relaxed, DFT GGA-PBE
# space group = No. 119
# magnetization = 0.9836 μB/atom
# formation enthalpy at 0 K = -0.1646 eV per atom
data_Mn2CrPt
_chemical_formula_sum 'Mn2 Cr1 Pt1'
_space_group_name_H-M_alt 'P 1'
_space_group_IT_number 1
_space_group_name_Hall 'P 1'
_cell_length_a 4.7885
_cell_length_b 4.7885
_cell_length_c 4.7885
_cell_angle_alpha 134.03
_cell_angle_beta 134.03
_cell_angle_gamma 67.04
loop_
_atom_site_label
_atom_site_fract_x
_atom_site_fract_y
_atom_site_fract_z
Mn1 0.0000 0.0000 0.0000
Mn2 0.7500 0.2500 0.5000
Cr1 0.2500 0.7500 0.5000
Pt1 0.5000 0.5000 0.0000



Entry 2:
# ZnBO2, relaxed, DFT GGA-PBE
# energy above the most stable polymorph in this dataset = 7.441 eV/f.u.
# space group = No. 225
# formation energy from raw total energies = 1.9 eV per formula unit
# magnetization = 0.0000 μB/atom
data_ZnBO2
_chemical_formula_sum 'Zn1 B1 O2'
_space_group_name_H-M_alt 'P 1'
_space_group_IT_number 1
_space_group_name_Hall 'P 1'
_cell_length_a 3.6705
_cell_length_b 3.6705
_cell_length_c 3.6705
_cell_angle_alpha 60.00
_cell_angle_beta 60.00
_cell_angle_gamma 60.00
loop_
_atom_site_label
_atom_site_fract_x
_atom_site_fract_y
_atom_site_fract_z
Zn1 0.0000 0.0000 0.0000
B1 0.5000 0.5000 0.5000
O1 0.2500 0.2500 0.2500
O2 0.7500 0.7500 0.7500



Entry 3:
# EuCoP, relaxed, DFT GGA-PBE
# space group = No. 187
# magnetization = 1.9534 μB/atom
# formation enthalpy at 0 K = -0.8082 eV per atom
data_EuCoP
_chemical_formula_sum 'Eu1 Co1 P1'
_space_group_name_H-M_alt 'P 1'
_space_group_IT_number 1
_space_group_name_Hall 'P 1'
_cell_length_a 3.8875
_cell_length_b 3.8875
_cell_length_c 4.2693
_cell_angle_alpha 90.00
_cell_angle_beta 90.00
_cell_angle_gamma 120.00
loop_
_atom_site_label
_atom_site_fract_x
_atom_site_fract_y
_atom_site_fract_z
Eu1 0.0000 0.0000 0.0000
Co1 0.6667 0.3333 0.5000
P1 0.3333 0.6667 0.5000



Entry 4:
# TeMoWN2, relaxed, DFT GGA-PBE
# energy above the most stable polymorph in this dataset = 0.000 eV/f.u.
# space group = No. 123
# formation energy from raw total energies = 4.4 eV per formula unit
# magnetization = 0.6378 μB/atom
data_TeMoWN2
_chemical_formula_sum 'Te1 Mo1 W1 N2'
_space_group_name_H-M_alt 'P 1'
_space_group_IT_number 1
_space_group_name_Hall 'P 1'
_cell_length_a 3.9638
_cell_length_b 3.9638
_cell_length_c 5.7208
_cell_angle_alpha 90.00
_cell_angle_beta 90.00
_cell_angle_gamma 90.00
loop_
_atom_site_label
_atom_site_fract_x
_atom_site_fract_y
_atom_site_fract_z
Te1 0.0000 0.0000 0.0000
Mo1 0.5000 0.5000 0.0000
W1 0.0000 0.0000 0.5000
N1 0.0000 0.5000 0.5000
N2 0.5000 0.0000 0.5000



Entry 5:
# EuLuAlGa, relaxed, DFT GGA-PBE
# space group = No. 216
# magnetization = 1.7210 μB/atom
# formation enthalpy at 0 K = -0.3667 eV per atom
data_EuLuAlGa
_chemical_formula_sum 'Eu1 Lu1 Al1 Ga1'
_space_group_name_H-M_alt 'P 1'
_space_group_IT_number 1
_space_group_name_Hall 'P 1'
_cell_length_a 5.1379
_cell_length_b 5.1379
_cell_length_c 5.1379
_cell_angle_alpha 60.00
_cell_angle_beta 60.00
_cell_angle_gamma 60.00
loop_
_atom_site_label
_atom_site_fract_x
_atom_site_fract_y
_atom_site_fract_z
Eu1 0.0000 0.0000 0.0000
Lu1 0.5000 0.5000 0.5000
Al1 0.2500 0.2500 0.2500
Ga1 0.7500 0.7500 0.7500



Entry 6:
# Tb3Ho8Sc4, relaxed, DFT GGA-PBE
# space group = No. 12
# magnetization = 0.0383 μB/atom
# formation enthalpy at 0 K = 0.3905 eV per atom
data_Tb3Ho8Sc4
_chemical_formula_sum 'Tb3 Ho8 Sc4'
_space_group_name_H-M_alt 'P 1'
_space_group_IT_number 1
_space_group_name_Hall 'P 1'
_cell_length_a 8.7901
_cell_length_b 8.7901
_cell_length_c 6.5772
_cell_angle_alpha 108.77
_cell_angle_beta 108.77
_cell_angle_gamma 84.59
loop_
_atom_site_label
_atom_site_fract_x
_atom_site_fract_y
_atom_site_fract_z
Tb1 0.0000 0.0000 0.0000
Tb2 0.0000 0.5000 0.5000
Tb3 0.5000 0.0000 0.5000
Ho1 0.2031 0.2031 0.6635
Ho2 0.2040 0.7960 0.5000
Ho3 0.2607 0.7393 0.0000
Ho4 0.2664 0.2664 0.1944
Ho5 0.7336 0.7336 0.8056
Ho6 0.7393 0.2607 0.0000
Ho7 0.7960 0.2040 0.5000
Ho8 0.7969 0.7969 0.3365
Sc1 0.0000 0.5000 0.0000
Sc2 0.5000 0.0000 0.0000
Sc3 0.5000 0.5000 0.0000
Sc4 0.5000 0.5000 0.5000



Entry 7:
# ScTc2Os2, relaxed, DFT GGA-PBE
# energy above the most stable polymorph in this dataset = 0.000 eV/f.u.
# space group = No. 127
# magnetization = 0.0001 μB/atom
# formation enthalpy at 0 K = -0.0101 eV per atom
data_ScTc2Os2
_chemical_formula_sum 'Sc2 Tc4 Os4'
_space_group_name_H-M_alt 'P 1'
_space_group_IT_number 1
_space_group_name_Hall 'P 1'
_cell_length_a 7.5985
_cell_length_b 7.5985
_cell_length_c 2.7904
_cell_angle_alpha 90.00
_cell_angle_beta 90.00
_cell_angle_gamma 90.00
loop_
_atom_site_label
_atom_site_fract_x
_atom_site_fract_y
_atom_site_fract_z
Sc1 0.0000 0.0000 0.0000
Sc2 0.5000 0.5000 0.0000
Tc1 0.1710 0.3290 0.5000
Tc2 0.3290 0.8290 0.5000
Tc3 0.6710 0.1710 0.5000
Tc4 0.8290 0.6710 0.5000
Os1 0.1236 0.6236 0.0000
Os2 0.3764 0.1236 0.0000
Os3 0.6236 0.8764 0.0000
Os4 0.8764 0.3764 0.0000



Entry 8:
# MoSe2, relaxed, DFT GGA-PBE
# space group = No. 164
# formation energy from raw total energies = -1.4 eV per formula unit
# magnetization = 0.0000 μB/atom
data_MoSe2
_chemical_formula_sum 'Mo1 Se2'
_space_group_name_H-M_alt 'P 1'
_space_group_IT_number 1
_space_group_name_Hall 'P 1'
_cell_length_a 3.2931
_cell_length_b 3.2931
_cell_length_c 7.0797
_cell_angle_alpha 90.00
_cell_angle_beta 90.00
_cell_angle_gamma 120.00
loop_
_atom_site_label
_atom_site_fract_x
_atom_site_fract_y
_atom_site_fract_z
Mo1 0.0000 0.0000 0.0000
Se1 0.3333 0.6667 0.2431
Se2 0.6667 0.3333 0.7569